## BaNaYSe3 (PBE-GGA)

Data for a relaxed BaNaYSe3 crystal.

```
12
Lattice="-3.4340 2.1094 -1.7218 -3.2021 -7.6742 -3.0154 -3.6670 1.2102 8.7962" Properties=species:S:1:pos:R:3 pbc="T T T"
Y -6.7192 0.1095 5.1688
Ba -2.4481 -0.8322 1.0743
Se -4.9862 -4.6436 1.4669
Y -3.5839 -4.4640 -1.1099
Na -7.0023 -4.8968 -0.3999
Se -5.8722 -5.0813 -2.8797
Ba -7.8550 -3.5223 2.9846
Se -4.4309 0.7267 6.9387
Se -4.6027 -1.7224 -1.2967
Se -5.7004 -2.6321 5.3557
Na -3.3008 0.5423 4.4589
Se -5.3168 0.2891 2.5920
```

As for the formation energy from raw total energies: -1.685 eV/atom. As for the theoretical density: 4.5 g/cm3.